VASP calculation (PBE-GGA) on an optimized crystal structure of Sr2CuAg.

Geometry as POSCAR:
```
Sr2CuAg
1.0
6.4027 -0.0169 0.0121
4.8595 4.1689 0.0121
-0.0083 -0.0030 4.5685
Sr Ag Cu
2 1 1
Direct
0.0153 0.0153 0.1255
0.7352 0.7352 0.6252
0.4385 0.4385 0.6253
0.3110 0.3110 0.1240
```

Computed properties:
Calculated formation energy, eV/atom: -0.19
Fermi-level density of states, states/eV/atom: 0.52



VASP calculation (PBE-GGA) on an optimized crystal structure of SrPr3Pb2.

Geometry as POSCAR:
```
SrPr3Pb2
1.0
4.8662 0.0000 0.0000
-2.4331 10.6310 -0.5139
0.0000 -5.3340 8.4953
Sr Pr Pb
2 6 4
Direct
0.8884 0.7769 0.9032
0.1116 0.2231 0.0968
0.3046 0.6092 0.4934
0.9463 0.8926 0.5745
0.6467 0.2935 0.8109
0.3533 0.7065 0.1891
0.0537 0.1074 0.4255
0.6954 0.3908 0.5066
0.4911 0.9823 0.8255
0.5089 0.0177 0.1745
0.7582 0.5165 0.2258
0.2418 0.4835 0.7742
```

Computed properties:
Calculated formation energy, eV/atom: -0.35
Fermi-level density of states, states/eV/atom: 1.13



VASP calculation (PBE-GGA) on an optimized crystal structure of NaAc2Dy.

Geometry as POSCAR:
```
NaAc2Dy
1.0
3.8503 0.0000 0.0000
1.9252 3.3345 0.0000
1.9252 1.1115 12.5955
Na Ac Dy
1 2 1
Direct
0.6668 0.6668 0.9995
0.0886 0.0886 0.7342
0.2446 0.2446 0.2661
0.4999 0.4999 0.5002
```

Computed properties:
Calculated formation energy, eV/atom: 0.08
Fermi-level density of states, states/eV/atom: 0.93



VASP calculation (PBE-GGA) on an optimized crystal structure of Cu2AsRh.

Geometry as POSCAR:
```
Cu2AsRh
1.0
-4.3077 -0.6073 1.7014
-1.2245 -4.5046 -0.1704
3.7767 2.1894 1.6623
As Cu Rh
1 2 1
Direct
0.7500 0.2500 0.5000
0.0000 0.0000 0.0000
0.2500 0.7500 0.5000
0.5000 0.5000 0.0000
```

Computed properties:
Calculated formation energy, eV/atom: -0.06
Fermi-level density of states, states/eV/atom: 0.56